The following is a GGA-PBE calculation of a relaxed SmEr3Co crystal, from Alexandria.

The structure in extended XYZ format:
```
20
Lattice="7.2743 0.0000 0.0000 0.0000 7.7588 -0.1587 0.0000 -2.7635 9.5181" Properties=species:S:1:pos:R:3 pbc="T T T"
Er 0.9291 -0.4562 3.7043
Er 3.6905 -0.0915 5.8167
Er 0.0533 3.7050 8.3017
Er 1.4656 3.0792 4.9990
Er 2.7081 -1.8380 8.4634
Er 2.1715 4.4609 0.2400
Er 5.8087 1.9161 4.3604
Er 3.5839 5.0868 3.5427
Er 7.2210 1.2902 1.0577
Er 6.3453 5.4515 5.6551
Er 4.5662 6.8332 0.8960
Er 5.1028 0.5343 9.1194
Sm 4.0433 3.2161 7.0764
Sm 0.4061 0.3975 7.0420
Sm 3.2311 1.7792 2.2830
Sm 6.8682 4.5978 2.3174
Co 5.4805 -2.0946 8.5091
Co 1.8433 5.7082 5.6093
Co 5.4310 -0.7129 3.7500
Co 1.7938 7.0899 0.8503
```

Properties
V   534.01 Å³ per cell
Raw total energy   -102.8 eV/cell
ΔH_f (0 K)   -0.03 eV per atom
Magnetization   0.000 μB/atom

The following is a GGA-PBE calculation of a relaxed Gd2LuZr crystal, from Alexandria.

The structure in extended XYZ format:
```
4
Lattice="-1.3087 2.2478 2.2272 -1.5269 -2.5596 1.6860 7.9300 -0.9980 5.6667" Properties=species:S:1:pos:R:3 pbc="T T T"
Gd 2.0975 -0.2640 1.4988
Gd 5.8326 -0.7340 4.1679
Lu -1.4178 -0.1559 1.9566
Zr 2.5472 -0.6549 4.7900
```

Properties
V   114.88 Å³ per cell
Raw total energy   -40.9 eV/cell
ΔH_f (0 K)   0.09 eV per atom
Magnetization   3.592 μB/atom

The following is a GGA-PBE calculation of a relaxed TaMnSb2 crystal, from Alexandria.

The structure in extended XYZ format:
```
4
Lattice="-2.8110 -2.5882 2.8979 -3.7338 -2.4083 -1.8047 0.1087 -4.7901 -0.2045" Properties=species:S:1:pos:R:3 pbc="T T T"
Sb -1.6090 -2.4466 0.2222
Sb -4.8271 -7.3399 0.6665
Mn 0.0000 0.0000 0.0000
Ta -3.2181 -4.8933 0.4444
```

Properties
V   77.99 Å³ per cell
Raw total energy   -28.1 eV/cell
ΔE_f (raw)   0.288 eV per atom
Magnetization   0.592 μB/atom